(1)
CaAg6Sn | GGA-PBE | optimized geometry

The structure in POSCAR format:
```
CaAg6Sn
1.0
-4.1178 2.7343 2.9696
-5.5362 -1.4138 -0.7764
-2.7004 -4.4575 5.9585
Ca Ag Sn
1 6 1
Direct
0.5000 0.5000 0.5000
0.9300 0.9300 0.6970
0.4430 0.9300 0.6970
0.0700 0.5570 0.3030
0.5570 0.0700 0.3030
0.0700 0.0700 0.3030
0.9300 0.4430 0.6970
0.0000 0.0000 0.0000
```

Summary:
- DFT formation energy: 132 meV per atom

***

(2)
Sr2CaLa | GGA-PBE | optimized geometry

The structure in POSCAR format:
```
Sr2CaLa
1.0
4.4581 0.0000 0.0000
0.0000 6.4003 0.0000
0.0000 0.0000 6.3881
Sr Ca La
2 1 1
Direct
0.0000 0.0000 0.0000
0.5000 0.5000 0.0000
0.5000 0.0000 0.5000
0.0000 0.5000 0.5000
```

Summary:
- DFT formation energy: 121 meV per atom

***

(3)
Sm3NiAg2 | GGA-PBE | optimized geometry

The structure in POSCAR format:
```
Sm3NiAg2
1.0
4.5719 0.0000 0.0000
0.0000 10.7278 0.0000
0.0000 0.0000 12.2701
Sm Ni Ag
12 4 8
Direct
0.2500 0.3820 0.0553
0.7500 0.6180 0.9447
0.7500 0.8820 0.4447
0.2500 0.1180 0.5553
0.2500 0.7108 0.2422
0.7500 0.2892 0.7578
0.7500 0.2108 0.2578
0.2500 0.7892 0.7422
0.2500 0.4409 0.3917
0.7500 0.5591 0.6083
0.7500 0.9409 0.1083
0.2500 0.0591 0.8917
0.2500 0.1340 0.1175
0.7500 0.8660 0.8825
0.7500 0.6340 0.3825
0.2500 0.3660 0.6175
0.2500 0.7043 0.4967
0.7500 0.2957 0.5033
0.7500 0.2043 0.0033
0.2500 0.7957 0.9967
0.2500 0.0030 0.3004
0.7500 0.9970 0.6996
0.7500 0.5030 0.1996
0.2500 0.4970 0.8004
```

Summary:
- DFT formation energy: -245 meV per atom

***

(4)
MgZr3Sc2 | GGA-PBE | optimized geometry

The structure in POSCAR format:
```
MgZr3Sc2
1.0
-1.6408 4.2142 0.1941
-4.0742 -1.2119 -8.1286
-11.0963 -4.6082 6.2487
Mg Zr Sc
4 12 8
Direct
0.7500 0.7500 0.7503
0.7500 0.2500 0.7497
0.2500 0.2500 0.2497
0.2500 0.7500 0.2503
0.7500 0.0065 0.9224
0.7500 0.5065 0.5776
0.2500 0.9935 0.0776
0.2500 0.4935 0.4224
0.7500 0.4935 0.9224
0.7500 0.9935 0.5776
0.2500 0.5065 0.0776
0.2500 0.0065 0.4224
0.7500 0.7500 0.0802
0.7500 0.2500 0.4198
0.2500 0.2500 0.9198
0.2500 0.7500 0.5802
0.7500 0.2500 0.0811
0.7500 0.7500 0.4189
0.2500 0.7500 0.9189
0.2500 0.2500 0.5811
0.7500 0.0000 0.2500
0.7500 0.5000 0.2500
0.2500 0.0000 0.7500
0.2500 0.5000 0.7500
```

Summary:
- DFT formation energy: 22 meV per atom

***

(5)
IrPt5 | GGA-PBE | optimized geometry

The structure in POSCAR format:
```
IrPt5
1.0
-4.5738 2.2833 0.5694
1.4717 -3.6670 3.2932
1.9179 3.1742 2.6774
Ir Pt
1 5
Direct
0.0000 0.0000 0.0000
0.0000 0.5000 0.5000
0.3333 0.6667 0.0000
0.5000 0.0000 0.5000
0.5000 0.5000 0.5000
0.6667 0.3333 0.0000
```

Summary:
- DFT formation energy: 583 meV per atom

***

(6)
SiSbRu2 | GGA-PBE | optimized geometry

The structure in POSCAR format:
```
SiSbRu2
1.0
7.8053 -0.0721 -0.0427
7.2149 2.9788 -0.0427
7.2149 1.3962 2.6317
Ru Sb Si
2 1 1
Direct
0.0092 0.0092 0.0092
0.4908 0.4908 0.4908
0.2500 0.2500 0.2500
0.7500 0.7500 0.7500
```

Summary:
- Formation energy from raw total energies: -75 meV per atom

***

(7)
TmZnRhPb | GGA-PBE | optimized geometry

The structure in POSCAR format:
```
TmZnRhPb
1.0
4.8365 0.0000 0.0000
2.4182 4.1885 0.0000
2.4182 1.3962 3.9490
Pb Zn Tm Rh
1 1 1 1
Direct
0.2500 0.2500 0.2500
0.0000 0.0000 0.0000
0.7500 0.7500 0.7500
0.5000 0.5000 0.5000
```

Summary:
- DFT formation energy: -338 meV per atom

***

(8)
CeInIr | GGA-PBE | optimized geometry

The structure in POSCAR format:
```
CeInIr
1.0
-0.4959 1.8087 4.3444
-4.2942 0.2887 1.9667
-1.1378 -2.8236 3.6227
Ir Ce In
1 1 1
Direct
0.2500 0.2500 0.2500
0.5000 0.5000 0.5000
0.0000 0.0000 0.0000
```

Summary:
- DFT formation energy: -515 meV per atom

***

(9)
ScTcS3 | GGA-PBE | optimized geometry

The structure in POSCAR format:
```
ScTcS3
1.0
4.8663 0.0000 0.0000
0.0000 4.8663 0.0000
0.0000 0.0000 4.8663
Sc S Tc
1 3 1
Direct
0.0000 0.0000 0.0000
0.0000 0.5000 0.0000
0.0000 0.0000 0.5000
0.5000 0.0000 0.0000
0.5000 0.5000 0.5000
```

Summary:
- Formation energy from raw total energies: 137 meV per atom

***

(10)
Sr2InBr | GGA-PBE | optimized geometry

The structure in POSCAR format:
```
Sr2InBr
1.0
3.9626 0.0000 0.0000
0.0000 4.1826 -0.1407
0.0000 0.3403 9.0084
Sr Br In
2 1 1
Direct
0.0000 0.2477 0.9737
0.0000 0.2523 0.5263
0.5000 0.2500 0.2500
0.5000 0.7500 0.7500
```

Summary:
- Formation energy from raw total energies: -972 meV per atom

***

(11)
Li12CdHg6 | GGA-PBE | optimized geometry

The structure in POSCAR format:
```
Li12CdHg6
1.0
-4.5209 5.2980 -1.6489
-4.9293 -3.0428 4.2037
2.5541 3.7562 5.5313
Li Cd Hg
12 1 6
Direct
0.8025 0.5283 0.4295
0.4295 0.8025 0.5283
0.5283 0.4295 0.8025
0.1975 0.4717 0.5705
0.5705 0.1975 0.4717
0.4717 0.5705 0.1975
0.0258 0.1548 0.3751
0.8452 0.6249 0.9742
0.6249 0.9742 0.8452
0.9742 0.8452 0.6249
0.1548 0.3751 0.0258
0.3751 0.0258 0.1548
0.0000 0.0000 0.0000
0.7137 0.8759 0.2872
0.7128 0.2863 0.1241
0.1241 0.7128 0.2863
0.2863 0.1241 0.7128
0.2872 0.7137 0.8759
0.8759 0.2872 0.7137
```

Summary:
- DFT formation energy: -265 meV per atom

***

(12)
Tb2PrSm7 | GGA-PBE | optimized geometry

The structure in POSCAR format:
```
Tb2PrSm7
1.0
5.2636 1.6650 -0.7884
2.9191 7.6310 -3.8331
-1.5332 0.0091 9.5247
Tb Pr Sm
2 1 7
Direct
0.5002 0.6994 0.3986
0.4998 0.3006 0.6014
0.0000 0.0000 0.0000
0.0001 0.8001 0.6004
0.9999 0.1999 0.3996
0.7510 0.6400 0.7826
0.2490 0.3600 0.2174
0.7521 0.8568 0.2175
0.2479 0.1432 0.7825
0.5000 0.5000 0.0000
```

Summary:
- DFT formation energy: 43 meV per atom

***

(13)
ScSb2TeW | GGA-PBE | optimized geometry

The structure in POSCAR format:
```
ScSb2TeW
1.0
-2.1184 -1.7685 -4.3642
4.2843 -2.7097 -0.9816
-2.1274 -4.3809 2.8079
Sc Sb Te W
1 2 1 1
Direct
0.5000 0.5000 0.5000
0.0000 0.5000 0.0000
0.5000 0.0000 0.0000
0.0000 0.0000 0.5000
0.0000 0.0000 0.0000
```

Summary:
- Formation energy from raw total energies: 625 meV per atom

***

(14)
Ce2Be3Ge4Pt | GGA-PBE | optimized geometry

The structure in POSCAR format:
```
Ce2Be3Ge4Pt
1.0
-1.6418 -3.5204 1.4856
2.4801 -2.2119 -2.5005
6.7879 -0.2363 6.9415
Ce Be Ge Pt
2 3 4 1
Direct
0.5000 0.0000 0.2459
0.0000 0.5000 0.7541
0.0000 0.0000 0.5000
0.5000 0.0000 0.8775
0.0000 0.5000 0.1225
0.5000 0.5000 0.0000
0.0000 0.0000 0.0000
0.5000 0.0000 0.6444
0.0000 0.5000 0.3556
0.5000 0.5000 0.5000
```

Summary:
- DFT formation energy: -510 meV per atom

***

(15)
MnNiCl2 | GGA-PBE | optimized geometry

The structure in POSCAR format:
```
MnNiCl2
1.0
-4.3300 0.3801 -0.8026
-0.8635 -0.8686 4.2470
0.1511 3.1439 0.6737
Ni Mn Cl
1 1 2
Direct
0.0000 0.5000 0.5000
0.5000 0.0000 0.5000
0.0000 0.0000 0.0000
0.5000 0.5000 0.0000
```

Summary:
- Formation energy from raw total energies: 136 meV per atom

***

(16)
CsCr2Br | GGA-PBE | optimized geometry

The structure in POSCAR format:
```
CsCr2Br
1.0
0.0000 3.3035 3.3035
3.3035 0.0000 3.3035
3.3035 3.3035 0.0000
Cs Cr Br
1 2 1
Direct
0.5000 0.5000 0.5000
0.2500 0.2500 0.2500
0.7500 0.7500 0.7500
0.0000 0.0000 0.0000
```

Summary:
- Formation energy from raw total energies: 2024 meV per atom

***

(17)
MgSn3Sb | GGA-PBE | optimized geometry

The structure in POSCAR format:
```
MgSn3Sb
1.0
-0.5320 -1.7117 -5.0784
-5.0656 -1.5050 1.0379
-1.7491 4.8793 -1.4614
Sb Mg Sn
1 1 3
Direct
0.5000 0.5000 0.5000
0.0000 0.0000 0.0000
0.0000 0.5000 0.0000
0.0000 0.0000 0.5000
0.5000 0.0000 0.0000
```

Summary:
- Formation energy from raw total energies: 461 meV per atom

***

(18)
Nd2HoHf | GGA-PBE | optimized geometry

The structure in POSCAR format:
```
Nd2HoHf
1.0
-2.1453 1.6931 -2.1650
0.5999 -0.0415 -3.4343
-6.9185 -8.8484 -2.8715
Nd Ho Hf
2 1 1
Direct
0.0785 0.0785 0.7645
0.2552 0.2552 0.2343
0.4992 0.4992 0.5025
0.6671 0.6671 0.9986
```

Summary:
- DFT formation energy: 169 meV per atom

***

(19)
Ho2Re2B7 | GGA-PBE | optimized geometry

The structure in POSCAR format:
```
Ho2Re2B7
1.0
4.7585 -0.1579 0.1050
0.0552 5.2279 1.1423
-0.2091 0.0625 5.3471
Ho Re B
2 2 7
Direct
0.1145 0.2927 0.2927
0.8855 0.7073 0.7073
0.5000 0.2011 0.7989
0.5000 0.7989 0.2011
0.3947 0.8841 0.5939
0.6053 0.4061 0.1159
0.6053 0.1159 0.4061
0.3947 0.5939 0.8841
0.0000 0.0000 0.0000
0.6297 0.4245 0.4245
0.3703 0.5755 0.5755
```

Summary:
- DFT formation energy: 49 meV per atom

***

(20)
ZnNCl2 | GGA-PBE | optimized geometry

The structure in POSCAR format:
```
ZnNCl2
1.0
-4.2235 -7.9001 0.5191
-0.6922 -8.1133 3.7701
-4.7965 -5.8497 4.8264
Zn N Cl
1 1 2
Direct
0.0000 0.0000 0.0000
0.5000 0.5000 0.5000
0.9192 0.9192 0.9192
0.0808 0.0808 0.0808
```

Summary:
- Formation energy from raw total energies: 692 meV per atom

***

(21)
RbNp3 | GGA-PBE | optimized geometry

The structure in POSCAR format:
```
RbNp3
1.0
6.1059 -0.0648 0.0000
2.4072 5.6117 0.0000
-4.2565 -2.7735 3.3876
Rb Np
1 3
Direct
0.0000 0.0000 0.0000
0.7500 0.2500 0.5000
0.2500 0.7500 0.5000
0.5000 0.5000 0.0000
```

Summary:
- DFT formation energy: 1637 meV per atom

***

(22)
PrDySc2Hg4 | GGA-PBE | optimized geometry

The structure in POSCAR format:
```
PrDySc2Hg4
1.0
5.1730 0.0000 0.0000
2.5865 4.4799 0.0000
2.5865 1.4933 8.5323
Pr Dy Sc Hg
1 1 2 4
Direct
0.0000 0.0000 0.0000
0.5000 0.5000 0.5000
0.7508 0.7508 0.7477
0.2492 0.2492 0.2523
0.3790 0.3790 0.8629
0.8722 0.8722 0.3833
0.1278 0.1278 0.6167
0.6210 0.6210 0.1371
```

Summary:
- DFT formation energy: -428 meV per atom

***

(23)
Nd5Y3In2 | GGA-PBE | optimized geometry

The structure in POSCAR format:
```
Nd5Y3In2
1.0
-4.0739 2.7863 -4.2976
-9.1659 -5.5638 0.0986
-4.4824 8.4921 4.7718
Nd Y In
10 6 4
Direct
0.2500 0.5000 0.5000
0.7500 0.5000 0.5000
0.4993 0.7507 0.7507
0.0007 0.2493 0.2493
0.5007 0.2493 0.2493
0.9993 0.7507 0.7507
0.1257 0.5383 0.2104
0.8743 0.4617 0.7896
0.6257 0.2104 0.5383
0.3743 0.7896 0.4617
0.2500 0.0000 0.0000
0.7500 0.0000 0.0000
0.3930 0.3308 0.8832
0.6070 0.6692 0.1168
0.8930 0.8832 0.3308
0.1070 0.1168 0.6692
0.1255 0.7311 0.0180
0.8745 0.2689 0.9820
0.6255 0.0180 0.7311
0.3745 0.9820 0.2689
```

Summary:
- DFT formation energy: 96 meV per atom

***

(24)
TlHg2SbI | GGA-PBE | optimized geometry

The structure in POSCAR format:
```
TlHg2SbI
1.0
5.7483 0.0000 0.0000
0.0000 5.7483 0.0000
0.0000 0.0000 6.0618
I Sb Tl Hg
1 1 1 2
Direct
0.5000 0.5000 0.5000
0.0000 0.0000 0.0000
0.0000 0.0000 0.5000
0.0000 0.5000 0.0000
0.5000 0.0000 0.0000
```

Summary:
- Formation energy from raw total energies: -73 meV per atom

***

no.,density (g/cm3)
1,6.47
2,3.23
3,8.01
4,4.58
5,18.50
6,9.20
7,11.30
8,9.91
9,3.45
10,4.11
11,6.34
12,7.45
13,6.65
14,7.84
15,4.87
16,7.30
17,5.34
18,8.73
19,9.72
20,1.46
21,11.34
22,10.04
23,6.00
24,7.08